(1)
Compound: Tl2RuPt
Source: the Alexandria database
Functional: meta-GGA SCAN
Structure: single point on PBEsol structure

Structure (POSCAR):
```
Tl2RuPt
1.0
3.137 0.000 0.000
0.000 3.137 0.000
0.000 0.000 8.052
Tl Ru Pt
2 1 1
Cartesian
0.000 0.000 0.000
1.569 1.569 2.691
1.569 1.569 6.113
0.000 0.000 4.773
```

(2)
Compound: Tl2RuPt
Source: the Alexandria database
Functional: meta-GGA SCAN
Structure: single point on PBEsol structure

Structure (POSCAR):
```
Tl2RuPt
1.0
3.347 0.000 0.000
0.000 3.347 0.000
0.000 0.000 6.335
Tl Ru Pt
2 1 1
Cartesian
0.000 0.000 1.548
0.000 0.000 4.787
1.673 1.673 0.000
1.673 1.673 3.167
```

(3)
Compound: Tl2RuPt
Source: the Alexandria database
Functional: meta-GGA SCAN
Structure: single point on PBEsol structure

Structure (POSCAR):
```
Tl2RuPt
1.0
0.000 3.323 3.323
3.323 0.000 3.323
3.323 3.323 0.000
Tl Ru Pt
2 1 1
Cartesian
0.000 0.000 0.000
1.662 1.662 1.662
3.323 3.323 3.323
4.985 4.985 4.985
```

(4)
Compound: Tl2RuPt
Source: the Alexandria database
Functional: meta-GGA SCAN
Structure: single point on PBEsol structure

Structure (POSCAR):
```
Tl2RuPt
1.0
3.059 0.000 0.000
0.000 4.214 0.000
0.000 0.000 5.721
Tl Ru Pt
2 1 1
Cartesian
0.000 0.000 0.000
1.530 2.107 1.951
1.530 2.107 4.764
0.000 0.000 3.027
```

One value per record, in order, for energy of formation from the pure elements: 1.60; 1.73; 2.73; 2.10 eV per formula unit.
One value per record, in order, for spin magnetization: 0.000; 0.000; 0.358; 0.188 μB per atom.